# 1
Entry from Alexandria via LeMat-Bulk: crystalline AcLaLu at its relaxed geometry (PBE).

Values from the calculation:
Size of the total moment in Bohr magnetons per cell: 0.000
Energy of formation in eV/atom: 0.072
E above lowest polymorph in eV per formula unit: 0.03
Calculated total energy in eV per atom: -4.45

Cell lengths 3.7607, 3.7607, 9.0760 Å; angles 90.00, 90.00, 120.00 degrees
Last column: nearest neighbours and their distance in Å.
Fractional coordinates of all 3 atoms:
Ac 0.0000 0.0000 0.0095  3 Lu 3.68, 6 Ac 3.76, 3 La 3.90
La 0.3333 0.6667 0.6529  3 Lu 3.59, 6 La 3.76, 3 Ac 3.90
Lu 0.6667 0.3333 0.3375  3 La 3.59, 3 Ac 3.68, 6 Lu 3.76


# 2
Entry from Alexandria via LeMat-Bulk: crystalline Cs2Li3HfF12 at its relaxed geometry (PBE).

Values from the calculation:
Size of the total moment in Bohr magnetons per cell: 3.000
Energy relative to the elements, uncorrected in eV per atom: -2.616
Calculated total energy in eV per atom: -4.83

Cell lengths 7.5627, 7.5627, 7.5627 Å; angles 57.61, 57.61, 57.61 degrees
Last column: nearest neighbours and their distance in Å.
Fractional coordinates of all 18 atoms:
F 0.3330 0.8835 0.3330  2 Li 2.03
F 0.9278 0.3236 0.9278  1 Hf 2.01, 1 Li 2.06
F 0.3236 0.9278 0.9278  1 Hf 2.01, 1 Li 2.06
F 0.6670 0.6670 0.1165  2 Li 2.03
F 0.1165 0.6670 0.6670  2 Li 2.03
F 0.0722 0.6764 0.0722  1 Hf 2.01, 1 Li 2.06
F 0.8835 0.3330 0.3330  2 Li 2.03
F 0.6764 0.0722 0.0722  1 Hf 2.01, 1 Li 2.06
F 0.6670 0.1165 0.6670  2 Li 2.03
F 0.9278 0.9278 0.3236  1 Hf 2.01, 1 Li 2.06
F 0.0722 0.0722 0.6764  1 Hf 2.01, 1 Li 2.06
F 0.3330 0.3330 0.8835  2 Li 2.03
Li 0.0000 0.0000 0.5000  6 F 2.03-2.06
Li 0.5000 0.0000 0.0000  6 F 2.03-2.06
Li 0.0000 0.5000 0.0000  6 F 2.03-2.06
Hf 0.0000 0.0000 0.0000  6 F 2.01
Cs 0.6198 0.6198 0.6198  6 F 3.03-3.24
Cs 0.3802 0.3802 0.3802  6 F 3.03-3.24


The lowest size of the total moment belongs to which entry? AcLaLu